A relaxed structure of Be2SbTe, computed with PBE.

* energy above the lowest structure with this stoichiometry: 511 meV/atom
* magnetization: 0.000 μB/cell
* DOS(E_F): 2.93 states/eV per cell
* raw formation energy: 0.533 eV/atom

```
data_Be2SbTe
_chemical_formula_sum 'Be4 Sb2 Te2'
_space_group_name_H-M_alt 'C 1 2/m 1'
_space_group_IT_number 12
_cell_length_a 6.184
_cell_length_b 7.358
_cell_length_c 4.188
_cell_angle_alpha 90.00
_cell_angle_beta 121.08
_cell_angle_gamma 90.00
loop_
_space_group_symop_operation_xyz
'x,y,z'
'-x,-y,-z'
'-x,y,-z'
'x,-y,z'
'x+1/2,y+1/2,z'
'-x+1/2,-y+1/2,-z'
'-x+1/2,y+1/2,-z'
'x+1/2,-y+1/2,z'
loop_
_atom_site_label
_atom_site_type_symbol
_atom_site_fract_x
_atom_site_fract_y
_atom_site_fract_z
_atom_site_occupancy
Be1 Be 0.250 0.250 0.000 1
Sb1 Sb 0.000 0.000 0.500 1
Te1 Te 0.000 0.500 0.500 1
```